Record 1
A plane-wave DFT calculation with GGA-PBE was carried out for KCr2Br after structural relaxation.

Structure (POSCAR):
```
KCr2Br
1.0
7.473 0.000 0.000
4.965 5.585 0.000
-6.219 -2.793 3.061
K Cr Br
1 2 1
Direct
0.250 0.750 0.500
0.000 0.000 0.000
0.500 0.500 0.000
0.750 0.250 0.500
```

Properties
**Space group**: I4/mmm (139)
**Offset from the most stable computed form**: 169 kJ/mol of formula units


Record 2
A plane-wave DFT calculation with GGA-PBE was carried out for KCrBr2 after structural relaxation.

Structure (POSCAR):
```
KCrBr2
1.0
3.991 0.000 0.000
0.000 4.218 -0.260
0.000 0.543 7.526
Br K Cr
2 1 1
Direct
0.000 0.253 0.495
0.000 0.247 0.005
0.500 0.750 0.750
0.500 0.250 0.250
```

Properties
**Space group**: P2/m (10)
**Offset from the most stable computed form**: 18 kJ/mol of formula units


Record 3
A plane-wave DFT calculation with GGA-PBE was carried out for KCr2Br after structural relaxation.

Structure (POSCAR):
```
KCr2Br
1.0
-1.287 -5.382 0.537
-4.208 -2.157 -2.924
1.034 -3.534 -4.165
K Cr Br
1 2 1
Direct
0.000 0.000 0.000
0.250 0.250 0.250
0.750 0.750 0.750
0.500 0.500 0.500
```

Properties
**Space group**: Fm-3m (225)
**Offset from the most stable computed form**: 328 kJ/mol of formula units


Record 4
A plane-wave DFT calculation with GGA-PBE was carried out for K2Cr2Br7 after structural relaxation.

Structure (POSCAR):
```
K2Cr2Br7
1.0
6.697 -0.116 -0.168
-0.808 8.667 -1.081
-0.808 -4.056 7.736
Cr Br K
2 7 2
Direct
0.129 0.728 0.728
0.871 0.272 0.272
0.215 0.918 0.608
0.785 0.082 0.392
0.762 0.552 0.552
0.785 0.392 0.082
0.000 0.000 0.000
0.215 0.608 0.918
0.238 0.448 0.448
0.500 0.303 0.697
0.500 0.697 0.303
```

Properties
**Space group**: C2/m (12)


Record 5
A plane-wave DFT calculation with GGA-PBE was carried out for KCrBr2 after structural relaxation.

Structure (POSCAR):
```
KCrBr2
1.0
4.312 -0.138 0.000
-2.041 3.801 0.000
0.000 0.000 8.155
Br K Cr
2 1 1
Direct
0.000 0.000 0.035
0.000 0.000 0.465
0.500 0.500 0.750
0.500 0.500 0.250
```

Properties
**Space group**: Cmmm (65)
**Offset from the most stable computed form**: 51 kJ/mol of formula units


Record 6
A plane-wave DFT calculation with GGA-PBE was carried out for K2CrBr5 after structural relaxation.

Structure (POSCAR):
```
K2CrBr5
1.0
5.232 0.000 0.000
-2.616 8.393 0.000
0.000 0.000 14.373
K Br Cr
4 10 2
Direct
0.143 0.286 0.569
0.143 0.286 0.931
0.857 0.714 0.431
0.857 0.714 0.069
0.257 0.514 0.123
0.328 0.655 0.750
0.955 0.910 0.628
0.743 0.486 0.623
0.045 0.090 0.128
0.257 0.514 0.377
0.672 0.345 0.250
0.955 0.910 0.872
0.743 0.486 0.877
0.045 0.090 0.372
0.852 0.703 0.750
0.148 0.297 0.250
```

Properties
**Space group**: Cmcm (63)
**Offset from the most stable computed form**: 43 kJ/mol of formula units


Record 7
A plane-wave DFT calculation with GGA-PBE was carried out for K2CrBr5 after structural relaxation.

Structure (POSCAR):
```
K2CrBr5
1.0
-6.898 -1.887 1.450
2.217 -9.098 -1.294
3.377 -1.233 14.459
Br K Cr
20 8 4
Direct
0.250 0.282 0.896
0.750 0.718 0.104
0.994 0.153 0.604
0.000 0.000 0.000
0.494 0.347 0.104
0.500 0.000 0.000
0.006 0.847 0.396
0.000 0.500 0.500
0.750 0.944 0.798
0.500 0.500 0.500
0.506 0.653 0.896
0.750 0.444 0.702
0.250 0.782 0.604
0.750 0.218 0.396
0.006 0.347 0.104
0.250 0.056 0.202
0.506 0.153 0.604
0.994 0.653 0.896
0.250 0.556 0.298
0.494 0.847 0.396
0.250 0.946 0.807
0.250 0.446 0.693
0.250 0.186 0.414
0.750 0.054 0.193
0.750 0.314 0.914
0.750 0.554 0.307
0.250 0.686 0.086
0.750 0.814 0.586
0.750 0.314 0.556
0.750 0.814 0.944
0.250 0.686 0.444
0.250 0.186 0.056
```

Properties
**Space group**: Pnma (62)
**Offset from the most stable computed form**: 0 kJ/mol of formula units


Record 8
A plane-wave DFT calculation with GGA-PBE was carried out for KCr2Br after structural relaxation.

Structure (POSCAR):
```
KCr2Br
1.0
6.679 -0.028 0.000
-3.981 5.363 0.000
0.000 0.000 3.428
Cr K Br
2 1 1
Direct
0.500 0.500 0.000
0.000 0.000 0.000
0.500 0.000 0.500
0.000 0.500 0.500
```

Properties
**Space group**: Cmmm (65)
**Offset from the most stable computed form**: 265 kJ/mol of formula units


no.,raw formation energy (meV/atom)
1,599
2,-727
3,1011
4,-988
5,-641
6,-1170
7,-1226
8,847